! YNi2O4, relaxed, DFT PBE with a Hubbard U; values from VASP
! * polymorph energy (0 for the lowest one): 41 meV per atom
&SYSTEM
  ibrav = 0, nat = 14, ntyp = 3
/
ATOMIC_SPECIES
Y 88.91 Y.upf
Ni 58.69 Ni.upf
O 16.00 O.upf
ATOMIC_POSITIONS angstrom
Y -2.900 1.714 1.762
Y 0.000 0.000 0.000
Ni -5.492 4.268 1.847
Ni -7.251 4.284 4.404
Ni -4.238 3.562 4.597
Ni -6.222 1.595 3.245
O -7.166 3.310 2.585
O -9.069 3.540 5.042
O -8.431 5.876 3.820
O -9.968 5.890 6.055
O -5.432 5.028 3.767
O -7.336 5.259 6.223
O -6.071 2.693 4.988
O -4.534 2.679 2.754
CELL_PARAMETERS angstrom
-3.518 0.032 5.115
-2.058 5.379 2.319
-6.025 1.444 -0.386